Entry 1:
Crystalline Pr3NdDy5 at its relaxed geometry. Source: the Alexandria database, functional PBE-GGA.

Results
The value obtained for the energy of formation from the pure elements is 0.50 eV per atom. The calculated total energy comes out at -0.30708 Ry per atom.

abc: 9.6242 9.6242 11.8265
angles: 52.08 52.08 72.59
With the nearest neighbours (Å) after each atom.
Atoms (fractional coordinates):
Pr 0.6978 0.6978 0.8097  1 Pr 3.03, 2 Dy 3.21-3.30
Dy 0.7427 0.2573 0.0000  1 Pr 2.93
Pr 0.3022 0.3022 0.1903  1 Pr 3.03, 2 Dy 3.21-3.30
Nd 0.8397 0.8397 0.4066  4 Pr 3.18-3.40, 2 Dy 3.40-3.45
Dy 0.4959 0.4959 0.2220  3 Pr 3.21-3.44, 3 Dy 3.30-3.37, 1 Nd 3.40
Dy 0.6509 0.1530 0.7523  3 Dy 3.31-3.68, 2 Pr 3.53-3.59
Dy 0.5041 0.5041 0.7780  3 Pr 3.21-3.44, 3 Dy 3.30-3.37, 1 Nd 3.40
Pr 0.6619 0.6619 0.3619  1 Nd 3.18, 2 Pr 3.30-3.41, 2 Dy 3.32-3.44
Dy 0.8175 0.8175 0.9589  3 Pr 3.22-3.40, 3 Dy 3.30-3.31, 1 Nd 3.45
Dy 0.8470 0.3491 0.2477  3 Dy 3.31-3.68, 2 Pr 3.53-3.59
Dy 0.2573 0.7427 0.0000  1 Pr 2.93
Pr 0.0000 0.0000 0.5000  2 Pr 3.03
Nd 0.1603 0.1603 0.5934  4 Pr 3.18-3.40, 2 Dy 3.40-3.45
Dy 0.1530 0.6509 0.7523  3 Dy 3.31-3.68, 2 Pr 3.53-3.59
Dy 0.3491 0.8470 0.2477  3 Dy 3.31-3.68, 2 Pr 3.53-3.59
Dy 0.1825 0.1825 0.0411  3 Pr 3.22-3.40, 3 Dy 3.30-3.31, 1 Nd 3.45
Pr 0.3381 0.3381 0.6381  1 Nd 3.18, 2 Pr 3.30-3.41, 2 Dy 3.32-3.44
Pr 0.0000 0.0000 0.0000  4 Dy 2.93-3.22



Entry 2:
Crystalline Pr5Nd6Dy at its relaxed geometry. Source: the Alexandria database, functional PBE-GGA.

Results
The value obtained for the energy of formation from the pure elements is 0.01 eV per atom. The calculated total energy comes out at -0.34881 Ry per atom.

abc: 12.2273 6.3836 6.3828
angles: 60.00 84.97 79.90
With the nearest neighbours (Å) after each atom.
Atoms (fractional coordinates):
Nd 0.7514 0.4144 0.6680  1 Dy 3.66, 6 Nd 3.67-3.69, 5 Pr 3.67-3.71
Nd 0.2485 0.2497 0.0000  1 Dy 3.67, 6 Nd 3.67-3.69, 5 Pr 3.67-3.71
Pr 0.5000 0.5000 0.0000  6 Pr 3.68-3.69, 6 Nd 3.70-3.71
Pr 0.5000 0.1664 0.6672  6 Pr 3.68-3.69, 6 Nd 3.70-3.71
Nd 0.7515 0.7503 0.0000  1 Dy 3.67, 6 Nd 3.67-3.69, 5 Pr 3.67-3.71
Dy 0.0000 0.0000 0.0000  6 Nd 3.66-3.67, 6 Pr 3.68-3.69
Nd 0.2486 0.9176 0.6680  1 Dy 3.66, 6 Nd 3.67-3.69, 5 Pr 3.67-3.71
Pr 0.0000 0.3331 0.3338  6 Nd 3.67-3.68, 3 Dy 3.68-3.69, 3 Pr 3.68-3.69
Pr 0.0000 0.6669 0.6662  6 Nd 3.67-3.68, 3 Dy 3.68-3.69, 3 Pr 3.68-3.69
Nd 0.7514 0.0824 0.3320  1 Dy 3.66, 6 Nd 3.67-3.69, 5 Pr 3.67-3.71
Nd 0.2486 0.5856 0.3320  1 Dy 3.66, 6 Nd 3.67-3.69, 5 Pr 3.67-3.71
Pr 0.5000 0.8336 0.3328  6 Pr 3.68-3.69, 6 Nd 3.70-3.71



Entry 3:
Crystalline Pr2NdDy5 at its relaxed geometry. Source: the Alexandria database, functional PBE-GGA.

Results
The value obtained for the energy of formation from the pure elements is 0.02 eV per atom. The calculated total energy comes out at -0.34163 Ry per atom.

abc: 5.0980 7.1992 14.4055
angles: 90.00 90.00 90.00
With the nearest neighbours (Å) after each atom.
Atoms (fractional coordinates):
Dy 0.5000 0.2486 0.3745  4 Pr 3.58-3.62, 6 Dy 3.59-3.61, 2 Nd 3.60
Dy 0.5000 0.7514 0.6255  4 Pr 3.58-3.62, 6 Dy 3.59-3.61, 2 Nd 3.60
Dy 0.0000 0.5019 0.7491  7 Dy 3.59-3.61, 4 Pr 3.59-3.60, 1 Nd 3.61
Dy 0.0000 0.5000 0.5000  6 Dy 3.59-3.61, 2 Nd 3.60, 4 Pr 3.60
Nd 0.0000 0.5000 0.0000  8 Dy 3.60-3.61, 4 Pr 3.62
Dy 0.0000 0.4981 0.2509  7 Dy 3.59-3.61, 4 Pr 3.59-3.60, 1 Nd 3.61
Pr 0.5000 0.2522 0.6258  10 Dy 3.58-3.62, 2 Nd 3.62
Pr 0.5000 0.2478 0.1258  10 Dy 3.58-3.62, 2 Nd 3.62
Pr 0.5000 0.7478 0.3742  10 Dy 3.58-3.62, 2 Nd 3.62
Nd 0.0000 0.0000 0.5000  8 Dy 3.60-3.61, 4 Pr 3.62
Pr 0.5000 0.7522 0.8742  10 Dy 3.58-3.62, 2 Nd 3.62
Dy 0.0000 0.9981 0.2491  7 Dy 3.59-3.61, 4 Pr 3.59-3.60, 1 Nd 3.61
Dy 0.5000 0.2514 0.8745  4 Pr 3.58-3.62, 6 Dy 3.59-3.61, 2 Nd 3.60
Dy 0.5000 0.7486 0.1255  4 Pr 3.58-3.62, 6 Dy 3.59-3.61, 2 Nd 3.60
Dy 0.0000 0.0000 0.0000  6 Dy 3.59-3.61, 2 Nd 3.60, 4 Pr 3.60
Dy 0.0000 0.0019 0.7509  7 Dy 3.59-3.61, 4 Pr 3.59-3.60, 1 Nd 3.61



Entry 4:
Crystalline PrNd8Dy6 at its relaxed geometry. Source: the Alexandria database, functional PBE-GGA.

Results
The value obtained for the energy of formation from the pure elements is 0.13 eV per atom. The calculated total energy comes out at -0.33639 Ry per atom.

abc: 9.1775 9.1775 8.7866
angles: 58.52 58.52 60.00
With the nearest neighbours (Å) after each atom.
Atoms (fractional coordinates):
Dy 0.7515 0.9027 0.8822  3 Nd 3.39-3.47, 1 Pr 3.54, 2 Dy 3.55
Nd 0.4223 0.4223 0.7330  4 Nd 3.27-3.46, 3 Dy 3.39
Nd 0.7499 0.1131 0.4200  5 Nd 3.46-3.49, 2 Dy 3.46-3.47, 1 Pr 3.57
Nd 0.2501 0.8869 0.5800  5 Nd 3.46-3.49, 2 Dy 3.46-3.47, 1 Pr 3.57
Dy 0.4636 0.7515 0.8822  3 Nd 3.39-3.47, 1 Pr 3.54, 2 Dy 3.55
Dy 0.5364 0.2485 0.1178  3 Nd 3.39-3.47, 1 Pr 3.54, 2 Dy 3.55
Nd 0.7169 0.7499 0.4200  5 Nd 3.46-3.49, 2 Dy 3.46-3.47, 1 Pr 3.57
Pr 0.0000 0.0000 0.0000  6 Dy 3.54, 6 Nd 3.57
Nd 0.5777 0.5777 0.2670  4 Nd 3.27-3.46, 3 Dy 3.39
Nd 0.8869 0.2831 0.5800  5 Nd 3.46-3.49, 2 Dy 3.46-3.47, 1 Pr 3.57
Dy 0.9027 0.4636 0.8822  3 Nd 3.39-3.47, 1 Pr 3.54, 2 Dy 3.55
Dy 0.0973 0.5364 0.1178  3 Nd 3.39-3.47, 1 Pr 3.54, 2 Dy 3.55
Nd 0.2831 0.2501 0.5800  5 Nd 3.46-3.49, 2 Dy 3.46-3.47, 1 Pr 3.57
Dy 0.2485 0.0973 0.1178  3 Nd 3.39-3.47, 1 Pr 3.54, 2 Dy 3.55
Nd 0.1131 0.7169 0.4200  5 Nd 3.46-3.49, 2 Dy 3.46-3.47, 1 Pr 3.57



Entry 5:
Crystalline Pr6NdDy6 at its relaxed geometry. Source: the Alexandria database, functional PBE-GGA.

Results
The value obtained for the energy of formation from the pure elements is 0.25 eV per atom. The calculated total energy comes out at -0.32703 Ry per atom.

abc: 6.7647 6.7647 11.5435
angles: 90.00 90.00 120.03
With the nearest neighbours (Å) after each atom.
Atoms (fractional coordinates):
Pr 0.0000 0.0000 0.3477  1 Pr 3.52, 6 Dy 3.57
Pr 0.0000 0.0000 0.6523  1 Pr 3.52, 6 Dy 3.57
Dy 0.5000 0.5000 0.2482  4 Dy 3.38, 6 Pr 3.47-3.57
Dy 0.0000 0.5000 0.7515  4 Dy 3.38, 6 Pr 3.47-3.57
Pr 0.6664 0.3336 0.5000  6 Dy 3.50, 3 Pr 3.90-3.91
Dy 0.5000 0.0000 0.7515  4 Dy 3.38, 6 Pr 3.47-3.57
Dy 0.5000 0.5000 0.7518  4 Dy 3.38, 6 Pr 3.47-3.57
Pr 0.6667 0.3333 0.0000  6 Dy 3.47
Pr 0.3333 0.6667 0.0000  6 Dy 3.47
Dy 0.0000 0.5000 0.2485  4 Dy 3.38, 6 Pr 3.47-3.57
Dy 0.5000 0.0000 0.2485  4 Dy 3.38, 6 Pr 3.47-3.57
Pr 0.3336 0.6664 0.5000  6 Dy 3.50, 3 Pr 3.90-3.91
Nd 0.0000 0.0000 0.0000  8 Pr 3.90-4.01



Entry 6:
Crystalline Pr3Nd8Dy2 at its relaxed geometry. Source: the Alexandria database, functional PBE-GGA.

Results
The value obtained for the energy of formation from the pure elements is 0.21 eV per atom. The calculated total energy comes out at -0.33311 Ry per atom.

abc: 5.8454 7.7818 11.0284
angles: 110.66 90.05 90.00
With the nearest neighbours (Å) after each atom.
Atoms (fractional coordinates):
Dy 0.5020 0.7585 0.5170  8 Nd 3.39-3.65
Pr 0.5000 0.0000 0.0000  4 Nd 3.19
Nd 0.0009 0.8643 0.7285  2 Pr 3.59, 2 Dy 3.64-3.65, 7 Nd 3.74-3.97
Nd 0.5003 0.8164 0.2165  1 Pr 3.19, 1 Nd 3.24, 2 Dy 3.50-3.57
Nd 0.9984 0.3251 0.6502  2 Dy 3.39, 4 Nd 3.61-3.62
Pr 0.0000 0.7116 0.0000  3 Pr 3.29-3.69, 6 Nd 3.59-3.68
Nd 0.4997 0.5999 0.7835  1 Pr 3.19, 1 Nd 3.24, 2 Dy 3.50-3.57
Nd 0.9991 0.1357 0.2715  2 Pr 3.59, 2 Dy 3.64-3.65, 7 Nd 3.74-3.97
Pr 0.0000 0.2884 0.0000  3 Pr 3.29-3.69, 6 Nd 3.59-3.68
Nd 0.4997 0.1836 0.7835  1 Pr 3.19, 1 Nd 3.24, 2 Dy 3.50-3.57
Dy 0.4980 0.2415 0.4830  8 Nd 3.39-3.65
Nd 0.0016 0.6749 0.3498  2 Dy 3.39, 4 Nd 3.61-3.62
Nd 0.5003 0.4001 0.2165  1 Pr 3.19, 1 Nd 3.24, 2 Dy 3.50-3.57



Entry 7:
Crystalline Pr4NdDy at its relaxed geometry. Source: the Alexandria database, functional PBE-GGA.

Results
The value obtained for the energy of formation from the pure elements is 0.02 eV per atom. The calculated total energy comes out at -0.34779 Ry per atom.

abc: 8.2384 8.2384 5.2014
angles: 90.00 90.00 36.94
With the nearest neighbours (Å) after each atom.
Atoms (fractional coordinates):
Nd 0.5000 0.5000 0.5000  8 Pr 3.67, 4 Dy 3.68
Pr 0.8351 0.8351 0.5000  2 Dy 3.66, 2 Nd 3.67, 8 Pr 3.68-3.73
Pr 0.1649 0.1649 0.5000  2 Dy 3.66, 2 Nd 3.67, 8 Pr 3.68-3.73
Dy 0.0000 0.0000 0.0000  8 Pr 3.66-3.68, 4 Nd 3.68
Pr 0.3344 0.3344 0.0000  2 Nd 3.67, 2 Dy 3.68, 8 Pr 3.68-3.71
Pr 0.6656 0.6656 0.0000  2 Nd 3.67, 2 Dy 3.68, 8 Pr 3.68-3.71



Entry 8:
Crystalline PrNd2Dy8 at its relaxed geometry. Source: the Alexandria database, functional PBE-GGA.

Results
The value obtained for the energy of formation from the pure elements is 0.17 eV per atom. The calculated total energy comes out at -0.32923 Ry per atom.

abc: 6.6638 6.6953 8.9687
angles: 98.74 111.81 90.00
With the nearest neighbours (Å) after each atom.
Atoms (fractional coordinates):
Nd 0.7553 0.6936 0.5106  9 Dy 3.29-3.54
Pr 0.0000 0.0000 0.0000  8 Dy 3.37-3.74
Nd 0.2447 0.3064 0.4894  9 Dy 3.29-3.54
Dy 0.2039 0.7994 0.4079  4 Nd 3.35-3.54, 3 Dy 3.47-3.69
Dy 0.4118 0.0946 0.8237  1 Nd 3.32, 8 Dy 3.38-3.71
Dy 0.7961 0.2006 0.5921  4 Nd 3.35-3.54, 3 Dy 3.47-3.69
Dy 0.3514 0.4066 0.1774  4 Dy 3.16-3.50, 2 Nd 3.29-3.48, 1 Pr 3.37
Dy 0.1740 0.5934 0.8226  4 Dy 3.16-3.50, 2 Nd 3.29-3.48, 1 Pr 3.37
Dy 0.6486 0.5934 0.8226  4 Dy 3.16-3.50, 2 Nd 3.29-3.48, 1 Pr 3.37
Dy 0.5882 0.9054 0.1763  1 Nd 3.32, 8 Dy 3.38-3.71
Dy 0.8260 0.4066 0.1774  4 Dy 3.16-3.50, 2 Nd 3.29-3.48, 1 Pr 3.37



Entry 9:
Crystalline Pr3Nd4Dy4 at its relaxed geometry. Source: the Alexandria database, functional PBE-GGA.

Results
The value obtained for the energy of formation from the pure elements is 0.15 eV per atom. The calculated total energy comes out at -0.33522 Ry per atom.

abc: 5.8007 6.7356 10.8560
angles: 90.00 90.00 115.51
With the nearest neighbours (Å) after each atom.
Atoms (fractional coordinates):
Dy 0.5557 0.1113 0.0000  4 Nd 3.13-3.32
Nd 0.9595 0.9189 0.0000  2 Dy 3.13, 2 Nd 3.42
Pr 0.4102 0.8203 0.2914  3 Dy 3.34-3.71, 4 Nd 3.58-3.69, 1 Pr 3.69
Dy 0.1050 0.2100 0.3033  4 Nd 3.43-3.74, 2 Dy 3.60, 4 Pr 3.71-3.76
Nd 0.8839 0.7678 0.5000  3 Dy 3.31-3.43, 2 Nd 3.51, 4 Pr 3.69
Dy 0.1050 0.2100 0.6967  4 Nd 3.43-3.74, 2 Dy 3.60, 4 Pr 3.71-3.76
Pr 0.2536 0.5072 0.0000  7 Nd 3.58-3.83, 5 Dy 3.67-3.77, 2 Pr 3.69
Pr 0.4102 0.8203 0.7086  3 Dy 3.34-3.71, 4 Nd 3.58-3.69, 1 Pr 3.69
Nd 0.7519 0.5039 0.7874  4 Dy 3.32-3.56, 2 Nd 3.42-3.51, 4 Pr 3.58-3.71
Dy 0.6117 0.2234 0.5000  3 Nd 3.31-3.56, 2 Pr 3.34, 4 Dy 3.60
Nd 0.7519 0.5039 0.2126  4 Dy 3.32-3.56, 2 Nd 3.42-3.51, 4 Pr 3.58-3.71



Entry 10:
Crystalline Pr3Nd2Dy4 at its relaxed geometry. Source: the Alexandria database, functional PBE-GGA.

Results
The value obtained for the energy of formation from the pure elements is 0.09 eV per atom. The calculated total energy comes out at -0.33854 Ry per atom.

abc: 6.2046 11.3664 11.3664
angles: 63.05 63.25 63.25
With the nearest neighbours (Å) after each atom.
Atoms (fractional coordinates):
Nd 0.9339 0.5156 0.2603  5 Pr 3.37-3.71, 3 Dy 3.49-3.51, 1 Nd 3.69
Pr 0.7500 0.3687 0.6313  4 Dy 3.56-3.79, 6 Nd 3.59-3.61
Dy 0.4236 0.9408 0.1737  3 Dy 3.36-3.51, 1 Nd 3.49, 5 Pr 3.49-3.65
Dy 0.0974 0.1520 0.3883  5 Pr 3.44-3.79, 3 Nd 3.50-3.82, 2 Dy 3.51-3.59
Dy 0.5974 0.3883 0.1520  5 Pr 3.44-3.79, 3 Nd 3.50-3.82, 2 Dy 3.51-3.59
Pr 0.2640 0.3035 0.0228  2 Nd 3.37-3.71, 8 Dy 3.44-3.65
Pr 0.2360 0.9772 0.6965  2 Nd 3.37-3.71, 8 Dy 3.44-3.65
Dy 0.4026 0.6117 0.8480  5 Pr 3.44-3.79, 3 Nd 3.50-3.82, 2 Dy 3.51-3.59
Nd 0.0661 0.4844 0.7397  5 Pr 3.37-3.71, 3 Dy 3.49-3.51, 1 Nd 3.69
Dy 0.0764 0.8263 0.0592  3 Dy 3.36-3.51, 1 Nd 3.49, 5 Pr 3.49-3.65
Dy 0.9236 0.1737 0.9408  3 Dy 3.36-3.51, 1 Nd 3.49, 5 Pr 3.49-3.65
Nd 0.4339 0.2603 0.5156  5 Pr 3.37-3.71, 3 Dy 3.49-3.51, 1 Nd 3.69
Pr 0.7640 0.0228 0.3035  2 Nd 3.37-3.71, 8 Dy 3.44-3.65
Dy 0.5764 0.0592 0.8263  3 Dy 3.36-3.51, 1 Nd 3.49, 5 Pr 3.49-3.65
Pr 0.2500 0.6313 0.3687  4 Dy 3.56-3.79, 6 Nd 3.59-3.61
Dy 0.9026 0.8480 0.6117  5 Pr 3.44-3.79, 3 Nd 3.50-3.82, 2 Dy 3.51-3.59
Pr 0.7360 0.6965 0.9772  2 Nd 3.37-3.71, 8 Dy 3.44-3.65
Nd 0.5661 0.7397 0.4844  5 Pr 3.37-3.71, 3 Dy 3.49-3.51, 1 Nd 3.69